A relaxed structure of TaOs2Br, computed with PBE-GGA.

For the excess energy over the best structure of this formula in the dataset, the calculation gives 0.244 eV/atom. For the uncorrected formation energy, the calculation gives 0.650 eV/atom. As for the total magnetization: 0.00 μB/f.u. The value obtained for the total energy is -8.35 eV per atom. The density of states at the Fermi level is 6.505 states/eV per cell.

It has space group C2/m (No. 12), with a = 9.990 Å, b = 2.925 Å, c = 4.541 Å, α = 90.00°, β = 93.17° and γ = 90.00°. Symmetry generates all atoms from Ta at (0.000, 0.000, 0.000), Os at (0.223, 0.500, 0.229) and Br at (0.000, 0.500, 0.500).